Entry 1:
As2Ir (PBEsol, optimized geometry); SG = P2_1/c; DFT formation energy = -497 meV/atom
1.0
-3.945 -2.922 -3.558
-0.737 -4.238 4.299
-2.674 4.187 3.670
As Ir
8 4
Cartesian
-3.761 -2.493 -2.006
-3.265 1.332 1.873
-2.104 -1.778 1.069
-2.078 -1.536 3.529
-4.092 -4.306 2.538
-3.596 -0.480 6.417
-5.252 -1.196 3.342
-5.278 -1.438 0.882
-2.596 -3.805 4.404
-3.565 0.405 4.093
-4.761 0.832 0.007
-3.792 -3.378 0.318

***

Entry 2:
CoRh2 (PBEsol, optimized geometry); SG = P-3m1; DOS at the Fermi energy = 7.70 states/eV per cell; DFT formation energy = 62 meV/atom
1.0
-1.727 1.454 -1.355
-0.587 -0.811 2.435
5.133 10.517 4.742
Rh Co
4 2
Cartesian
3.341 10.305 4.239
-0.522 0.855 1.582
3.790 7.766 3.501
1.342 2.751 1.240
1.983 5.987 3.896
0.836 5.172 1.925

***

Entry 3:
Pd2PtAu (PBEsol, optimized geometry); SG = Fm-3m; DOS at the Fermi energy = 4.68 states/eV per cell; DFT formation energy = 43 meV/atom
1.0
-2.943 -2.856 1.650
0.860 -4.336 -0.050
0.862 -2.126 3.778
Au Pt Pd
1 1 2
Cartesian
-0.610 -4.658 2.689
0.000 0.000 0.000
-0.916 -6.988 4.034
-0.305 -2.329 1.345

***

Entry 4:
Ca5In (PBEsol, optimized geometry); SG = P4/mmm; DOS at the Fermi energy = 5.80 states/eV per cell; DFT formation energy = -173 meV/atom; energy relative to the lowest polymorph listed for this composition = 0.000 eV per atom
1.0
-2.014 -1.742 -2.721
2.453 -2.911 0.047
-8.216 -6.755 10.406
Ca In
5 1
Cartesian
-7.176 -5.900 9.089
-5.404 -6.950 5.786
-1.039 -0.855 1.316
-4.108 -3.377 5.203
-2.373 -4.458 1.946
0.220 -2.326 -1.337

***

Entry 5:
Fe2OsRh (PBEsol, optimized geometry); SG = Cmmm; DOS at the Fermi energy = 4.97 states/eV per cell; DFT formation energy = 101 meV/atom; energy relative to the lowest polymorph listed for this composition = 0.009 eV per atom
1.0
2.581 0.000 0.000
0.000 4.399 -0.002
0.000 -1.354 4.185
Rh Os Fe
1 1 2
Cartesian
1.290 1.522 2.092
1.290 0.000 0.000
0.000 -0.677 2.093
0.000 2.199 -0.001

***

Entry 6:
KLi2La (PBEsol, optimized geometry); SG = Imm2; DOS at the Fermi energy = 3.65 states/eV per cell; DFT formation energy = 291 meV/atom
1.0
3.413 0.000 0.000
0.000 6.080 0.000
-1.707 -3.040 6.305
La K Li
1 1 2
Cartesian
0.000 3.040 3.435
0.000 0.000 5.990
1.707 0.000 2.783
0.000 0.000 0.402

***

Entry 7:
Cr2InAs (PBEsol, optimized geometry); SG = Amm2; DOS at the Fermi energy = 2.40 states/eV per cell; DFT formation energy = 364 meV/atom; energy relative to the lowest polymorph listed for this composition = 0.000 eV per atom
1.0
-2.251 1.934 -0.703
-1.053 0.317 4.246
4.231 2.824 0.838
Cr In As
2 1 1
Cartesian
-1.141 1.748 1.852
1.203 1.468 0.189
1.549 4.232 0.068
1.273 2.356 2.405

***

Entry 8:
Li2CaHg (PBEsol, optimized geometry); SG = C2/m; DOS at the Fermi energy = 2.11 states/eV per cell; DFT formation energy = -287 meV/atom
1.0
4.012 0.000 0.000
0.000 4.838 -0.204
-2.006 -2.089 4.671
Li Hg Ca
2 1 1
Cartesian
0.000 0.225 2.502
2.006 2.524 1.964
0.000 2.419 -0.102
2.006 0.000 0.000

***

Entry 9:
PtPb2 (PBEsol, optimized geometry); SG = Cmcm; DOS at the Fermi energy = 3.32 states/eV per cell; DFT formation energy = -83 meV/atom
1.0
-1.431 -3.871 -2.337
2.735 -2.772 2.917
-6.166 0.788 2.471
Pb Pt
4 2
Cartesian
-3.940 -3.978 1.782
-0.378 -5.090 1.443
-0.922 -1.878 1.269
-4.483 -0.766 1.608
1.812 -3.167 1.730
-0.508 -3.476 -1.150

***

Entry 10:
SrCr2Br (PBEsol, optimized geometry); SG = Imm2; DOS at the Fermi energy = 2.78 states/eV per cell; formation energy (no corrections) = 181 kJ/mol of formula units
1.0
-0.631 -1.423 3.367
-5.013 -2.649 -0.016
-0.050 -5.659 -0.358
Sr Br Cr
1 1 2
Cartesian
-2.882 -4.920 1.467
-4.468 -7.605 2.078
-1.145 -2.000 0.983
-0.677 -1.495 3.328

***

Entry 11:
LaBeAu2 (PBEsol, optimized geometry); SG = R-3m; DOS at the Fermi energy = 2.51 states/eV per cell; DFT formation energy = -487 meV/atom
1.0
-3.348 2.341 1.154
-3.915 -1.198 -1.122
-2.833 -2.363 4.380
Au Be La
2 1 1
Cartesian
-2.474 0.027 0.574
-7.623 -1.248 3.839
0.000 0.000 0.000
-5.048 -0.610 2.206

***

Entry 12:
TiBeC3 (PBEsol, optimized geometry); SG = Pm-3m; DOS at the Fermi energy = 3.04 states/eV per cell; DFT formation energy = 1567 meV/atom
1.0
3.474 0.000 0.000
0.000 3.474 0.000
0.000 0.000 3.474
C Ti Be
3 1 1
Cartesian
0.000 1.737 0.000
0.000 0.000 1.737
1.737 0.000 0.000
1.737 1.737 1.737
0.000 0.000 0.000

***

Entry 13:
BI3O (PBEsol, optimized geometry); SG = Pm-3m; DOS at the Fermi energy = 2.52 states/eV per cell; formation energy (no corrections) = 555 kJ/mol of formula units
1.0
-0.576 1.824 -4.599
4.318 -2.075 -1.363
-2.415 -4.144 -1.342
O I B
1 3 1
Cartesian
0.000 0.000 0.000
-1.207 -2.072 -0.671
2.159 -1.037 -0.682
-0.288 0.912 -2.299
0.664 -2.197 -3.652

***

Entry 14:
YCd4 (PBEsol, optimized geometry); SG = I4/m; DOS at the Fermi energy = 1.51 states/eV per cell; DFT formation energy = -212 meV/atom
1.0
4.803 0.000 0.000
2.402 4.794 0.000
2.402 0.000 4.794
Cd Y
4 1
Cartesian
4.803 1.664 3.579
4.803 3.130 1.214
7.205 3.579 3.130
2.402 1.214 1.664
0.000 0.000 0.000

***

Entry 15:
Ca3MgCd (PBEsol, optimized geometry); SG = Pm-3m; DOS at the Fermi energy = 5.48 states/eV per cell; DFT formation energy = 137 meV/atom
1.0
-0.935 3.100 -4.849
-3.551 -4.177 -1.985
-4.529 2.635 2.558
Ca Cd Mg
3 1 1
Cartesian
-2.264 1.317 1.279
-1.776 -2.088 -0.993
-0.468 1.550 -2.424
0.000 0.000 0.000
-4.508 0.779 -2.138

***

Entry 16:
LaYTl2 (PBEsol, optimized geometry); SG = Imm2; DOS at the Fermi energy = 2.22 states/eV per cell; DFT formation energy = -390 meV/atom
1.0
4.201 0.000 0.000
0.000 4.897 0.000
-2.100 -2.449 5.455
Tl Y La
2 1 1
Cartesian
0.000 0.000 3.021
2.100 0.000 5.266
2.100 0.000 0.013
2.100 2.449 2.609

***

Entry 17:
ScTlRu2 (PBEsol, optimized geometry); SG = Cmmm; DOS at the Fermi energy = 5.20 states/eV per cell; DFT formation energy = 298 meV/atom
1.0
-1.965 -1.852 -1.124
0.581 -0.457 2.829
-6.391 5.448 2.193
Tl Ru Sc
1 2 1
Cartesian
-0.692 -1.155 0.853
-4.707 4.013 1.615
-1.684 1.435 0.578
-3.887 1.569 1.949

***

Entry 18:
LaSi (PBEsol, optimized geometry); SG = P6_3/mmc; DOS at the Fermi energy = 8.02 states/eV per cell; formation energy (no corrections) = -104 kJ/mol of formula units
1.0
4.067 0.000 0.000
-2.034 3.522 0.000
0.000 0.000 15.277
Si La
4 4
Cartesian
2.034 1.174 3.819
0.000 0.000 3.819
0.000 0.000 11.458
0.000 2.348 11.458
0.000 2.348 1.799
2.034 1.174 13.478
2.034 1.174 9.437
0.000 2.348 5.840

***

Entry 19:
LaFeMo3 (PBEsol, optimized geometry); SG = Pm-3m; DOS at the Fermi energy = 6.00 states/eV per cell; DFT formation energy = 2478 meV/atom
1.0
4.663 0.000 0.000
0.000 4.663 0.000
0.000 0.000 4.663
Mo La Fe
3 1 1
Cartesian
0.000 2.332 0.000
0.000 0.000 2.332
2.332 0.000 0.000
0.000 0.000 0.000
2.332 2.332 2.332

***

Entry 20:
Mg3CrSb (PBEsol, optimized geometry); SG = Pm-3m; DOS at the Fermi energy = 2.68 states/eV per cell; formation energy (no corrections) = 377 kJ/mol of formula units
1.0
-1.124 2.867 4.049
1.274 -3.845 3.077
4.795 1.694 0.131
Mg Cr Sb
3 1 1
Cartesian
2.398 0.847 0.066
-0.562 1.434 2.024
0.637 -1.923 1.539
0.000 0.000 0.000
2.473 0.358 3.629

***

no.,magnetization (μB/f.u.),VASP energy (eV/atom)
1,0.0,-7.18
2,1.8,-7.94
3,0.0,-5.66
4,0.0,-2.45
5,0.0,-9.47
6,0.0,-2.31
7,0.9,-6.78
8,0.0,-1.95
9,0.0,-5.07
10,0.1,-5.58
11,0.0,-4.79
12,0.0,-6.68
13,0.0,-2.36
14,0.0,-2.53
15,0.0,-1.73
16,0.0,-4.75
17,0.0,-7.10
18,0.0,-6.08
19,1.6,-7.44
20,4.4,-3.21